# LiZr2Re

A relaxed LiZr2Re crystal (GGA-PBE, OQMD via LeMat-Bulk).

The structure in extended XYZ format:
```
24
Lattice="-1.794 -3.556 -2.451 6.052 -2.567 -0.704 -1.720 -7.310 11.864" Properties=species:S:1:pos:R:3 pbc="T T T"
Re 3.026 -1.283 -0.352
Re 0.660 -7.275 1.152
Zr 0.079 -6.734 9.710
Re 1.879 -6.158 7.556
Zr -0.567 -5.414 -0.649
Li -2.366 -5.991 1.505
Li 0.000 0.000 0.000
Zr 0.652 -4.296 5.756
Zr 3.641 -3.703 -1.754
Zr 2.460 -6.698 -1.001
Re -1.183 -2.995 0.753
Zr 0.617 -2.420 -1.402
Zr 3.679 -5.580 5.404
Zr 3.069 -6.138 2.202
Zr 3.106 -8.018 9.357
Re -1.757 -5.433 4.706
Li 0.695 -9.154 8.307
Re -2.331 -7.870 8.660
Zr 0.044 -4.855 2.554
Li -1.147 -4.875 7.908
Li 1.843 -4.278 0.401
Zr -0.530 -7.294 6.507
Li 1.269 -6.716 4.354
Zr 2.494 -8.577 6.155
```

Properties
Calculated total energy (eV per cell): -191.87
Space-group type: Fm-3m
Magnetic moment (μB/atom): 0.0007